The following is a DFT calculation (GGA+U) of an optimized crystal structure of NbMoO2.

E above lowest polymorph = 0 meV per atom
Crystal system = trigonal
Density = 7.6 Mg/m³
DOS at the Fermi energy = 2.187 states/eV/f.u.
Space group = No. 166

abc: 7.165 7.165 7.165
angles: 22.78 22.78 22.78
Positions (direct):
Mo: 0.000 0.000 0.000
Nb: 0.500 0.500 0.500
O: 0.902 0.902 0.902
O: 0.098 0.098 0.098